No. 1
{
  "formula": "Ba12NaSr7",
  "functional": "PBE-GGA",
  "state": "optimized geometry",
  "spacegroup": "Im-3 (204)",
  "dft_energy_ha_per_atom": -0.05025,
  "lattice_angstrom": [[12.1168, 0.0000, -4.2839], [-6.0584, 10.4934, -4.2839], [0.0000, 0.0000, 12.8518]],
  "species": ["Sr", "Sr", "Sr", "Sr", "Sr", "Sr", "Sr", "Ba", "Ba", "Ba", "Ba", "Ba", "Ba", "Ba", "Ba", "Ba", "Ba", "Ba", "Ba", "Na"],
  "fractional_positions": [[0.0000, 0.5000, 0.0000], [0.5000, 0.0000, 0.5000], [0.5000, 0.5000, 0.0000], [0.5000, 0.5000, 0.5000], [0.0000, 0.0000, 0.5000], [0.0000, 0.5000, 0.5000], [0.5000, 0.0000, 0.0000], [0.4060, 0.6516, 0.7544], [0.3484, 0.2456, 0.5940], [0.6516, 0.7544, 0.4060], [0.2456, 0.8972, 0.6516], [0.3484, 0.7544, 0.1028], [0.1028, 0.3484, 0.7544], [0.2456, 0.5940, 0.3484], [0.7544, 0.1028, 0.3484], [0.5940, 0.3484, 0.2456], [0.6516, 0.2456, 0.8972], [0.7544, 0.4060, 0.6516], [0.8972, 0.6516, 0.2456], [0.0000, 0.0000, 0.0000]]
}

***

No. 2
{
  "formula": "BaNaSr",
  "functional": "PBE-GGA",
  "state": "optimized geometry",
  "spacegroup": "Cmcm (63)",
  "dft_energy_ha_per_atom": -0.05488,
  "lattice_angstrom": [[7.6987, 0.0000, 0.0000], [0.0000, 3.9642, -0.7592], [0.0000, 0.0186, 10.8259]],
  "species": ["Na", "Na", "Sr", "Sr", "Ba", "Ba"],
  "fractional_positions": [[0.2500, 0.8402, 0.6805], [0.7500, 0.1598, 0.3195], [0.2500, 0.6629, 0.3257], [0.7500, 0.3371, 0.6743], [0.5000, 0.0000, 0.0000], [0.0000, 0.0000, 0.0000]]
}

***

No. 3
{
  "formula": "BaNaSr",
  "functional": "PBE-GGA",
  "state": "optimized geometry",
  "spacegroup": "P3m1 (156)",
  "dft_energy_ha_per_atom": -0.05817,
  "lattice_angstrom": [[-0.7466, -1.1598, -4.0295], [6.5232, -0.1460, -1.1666], [-3.1061, -5.4489, 2.1439]],
  "species": ["Sr", "Na", "Ba"],
  "fractional_positions": [[0.0812, 0.0000, 0.0000], [0.2837, 0.3333, 0.6667], [0.6351, 0.6667, 0.3333]]
}

***

No. 4
{
  "formula": "Ba3NaSr5",
  "functional": "PBE-GGA",
  "state": "optimized geometry",
  "spacegroup": "P6_3/mcm (193)",
  "dft_energy_ha_per_atom": -0.06068,
  "lattice_angstrom": [[8.0047, 0.0000, 0.0000], [0.0000, 12.0724, 0.0000], [0.0000, -6.0362, 10.4550]],
  "species": ["Sr", "Sr", "Sr", "Sr", "Sr", "Sr", "Sr", "Sr", "Sr", "Sr", "Ba", "Ba", "Ba", "Ba", "Ba", "Ba", "Na", "Na"],
  "fractional_positions": [[0.7500, 0.2743, 0.2743], [0.0000, 0.6667, 0.3333], [0.5000, 0.6667, 0.3333], [0.0000, 0.3333, 0.6667], [0.2500, 0.0000, 0.2743], [0.2500, 0.7257, 0.7257], [0.5000, 0.3333, 0.6667], [0.2500, 0.2743, 0.0000], [0.7500, 0.7257, 0.0000], [0.7500, 0.0000, 0.7257], [0.2500, 0.0000, 0.6159], [0.2500, 0.6159, 0.0000], [0.7500, 0.6159, 0.6159], [0.7500, 0.3841, 0.0000], [0.2500, 0.3841, 0.3841], [0.7500, 0.0000, 0.3841], [0.5000, 0.0000, 0.0000], [0.0000, 0.0000, 0.0000]]
}

***

No. 5
{
  "formula": "Ba5Na2Sr2",
  "functional": "PBE-GGA",
  "state": "optimized geometry",
  "spacegroup": "Imma (74)",
  "dft_energy_ha_per_atom": -0.06068,
  "lattice_angstrom": [[-6.5341, 3.2667, -5.1652], [5.9318, -0.6074, -7.8880], [-3.5342, -12.2340, 4.4820]],
  "species": ["Ba", "Ba", "Ba", "Ba", "Ba", "Ba", "Ba", "Ba", "Ba", "Ba", "Sr", "Sr", "Sr", "Sr", "Na", "Na", "Na", "Na"],
  "fractional_positions": [[0.0623, 0.5999, 0.6993], [0.8630, 0.4006, 0.3007], [0.8255, 0.8631, 0.2259], [0.3630, 0.4001, 0.3007], [0.2127, 0.7875, 0.5000], [0.7127, 0.2125, 0.5000], [0.5996, 0.1369, 0.7741], [0.3255, 0.8628, 0.2259], [0.0996, 0.1372, 0.7741], [0.5623, 0.5994, 0.6993], [0.4627, 0.5000, 0.0000], [0.2126, 0.2126, 0.5000], [0.7126, 0.7874, 0.5000], [0.9627, 0.0000, 0.0000], [0.9292, 0.5912, 0.9326], [0.4965, 0.1586, 0.0674], [0.9965, 0.4088, 0.0674], [0.4292, 0.8414, 0.9326]]
}

***

No. 6
{
  "formula": "Ba5NaSr4",
  "functional": "PBE-GGA",
  "state": "optimized geometry",
  "spacegroup": "I4mm (107)",
  "dft_energy_ha_per_atom": -0.06033,
  "lattice_angstrom": [[-3.4450, -1.9025, 5.7395], [5.7120, -5.5746, 5.7997], [1.2896, 6.6308, 7.1909]],
  "species": ["Ba", "Ba", "Ba", "Ba", "Ba", "Na", "Sr", "Sr", "Sr", "Sr"],
  "fractional_positions": [[0.5992, 0.0000, 0.0000], [0.1566, 0.6352, 0.0000], [0.7918, 0.0000, 0.3648], [0.7919, 0.3648, 0.0000], [0.1566, 0.0000, 0.6352], [0.1385, 0.0000, 0.0000], [0.1360, 0.3329, 0.3330], [0.4689, 0.6670, 0.3329], [0.8019, 0.6671, 0.6670], [0.4689, 0.3330, 0.6671]]
}

***

No. 7
{
  "formula": "Ba5Na5Sr2",
  "functional": "PBE-GGA",
  "state": "optimized geometry",
  "spacegroup": "C2/m (12)",
  "dft_energy_ha_per_atom": -0.05837,
  "lattice_angstrom": [[-4.6176, 1.6635, 3.9737], [-2.2648, -6.0088, -5.1343], [7.3860, -5.3138, 10.8073]],
  "species": ["Sr", "Sr", "Na", "Na", "Na", "Na", "Na", "Ba", "Ba", "Ba", "Ba", "Ba"],
  "fractional_positions": [[0.9105, 0.8211, 0.2599], [0.0895, 0.1789, 0.7401], [0.2490, 0.4981, 0.2325], [0.1744, 0.3487, 0.4708], [0.0000, 0.0000, 0.0000], [0.8256, 0.6513, 0.5292], [0.7510, 0.5019, 0.7675], [0.3880, 0.7761, 0.7366], [0.3469, 0.6938, 0.0150], [0.5000, 0.0000, 0.5000], [0.6120, 0.2239, 0.2634], [0.6531, 0.3062, 0.9850]]
}

***

No. 8
{
  "formula": "BaNaSr5",
  "functional": "PBE-GGA",
  "state": "optimized geometry",
  "spacegroup": "P4/mmm (123)",
  "dft_energy_ha_per_atom": -0.05772,
  "lattice_angstrom": [[6.1129, 0.0000, 0.0000], [0.0000, 6.1129, 0.0000], [0.0000, 0.0000, 10.6308]],
  "species": ["Sr", "Sr", "Sr", "Sr", "Sr", "Ba", "Na"],
  "fractional_positions": [[0.5000, 0.0000, 0.2080], [0.0000, 0.5000, 0.7920], [0.5000, 0.5000, 0.5000], [0.0000, 0.5000, 0.2080], [0.5000, 0.0000, 0.7920], [0.0000, 0.0000, 0.5000], [0.5000, 0.5000, 0.0000]]
}

***

No. 9
{
  "formula": "Ba3Na2Sr2",
  "functional": "PBE-GGA",
  "state": "optimized geometry",
  "spacegroup": "R-3m (166)",
  "dft_energy_ha_per_atom": -0.06058,
  "lattice_angstrom": [[6.7624, 0.0000, 0.0000], [3.3812, 5.8471, 0.2670], [3.3812, 1.5175, 9.5782]],
  "species": ["Ba", "Ba", "Ba", "Sr", "Sr", "Na", "Na"],
  "fractional_positions": [[0.3499, 0.8504, 0.4498], [0.6501, 0.1496, 0.5502], [0.5000, 0.0000, 0.0000], [0.9243, 0.4238, 0.7275], [0.0757, 0.5762, 0.2725], [0.2173, 0.7179, 0.8475], [0.7827, 0.2821, 0.1525]]
}

***

No. 10
{
  "formula": "Ba2Na3Sr8",
  "functional": "PBE-GGA",
  "state": "optimized geometry",
  "spacegroup": "C2/m (12)",
  "dft_energy_ha_per_atom": -0.05459,
  "lattice_angstrom": [[-6.7292, -1.7149, 4.3241], [0.7020, -9.7569, -2.7771], [6.1989, 3.6303, 7.4297]],
  "species": ["Ba", "Ba", "Na", "Na", "Na", "Sr", "Sr", "Sr", "Sr", "Sr", "Sr", "Sr", "Sr"],
  "fractional_positions": [[0.2396, 0.2033, 0.4065], [0.7604, 0.7967, 0.5935], [0.0000, 0.8373, 0.0000], [0.5000, 0.0000, 0.0000], [0.0000, 0.1627, 0.0000], [0.5708, 0.5801, 0.7832], [0.8972, 0.5903, 0.1806], [0.5708, 0.2032, 0.7832], [0.7481, 0.2067, 0.4135], [0.2519, 0.7933, 0.5865], [0.1028, 0.4097, 0.8194], [0.4292, 0.4199, 0.2168], [0.4292, 0.7968, 0.2168]]
}